Computed, not measured: an optimized crystal structure of AsPW2 at the GGA-PBE level of DFT.

Cell and atoms, written as POSCAR:
```
AsPW2
1.0
7.948 -0.014 -0.008
7.380 2.952 -0.008
7.380 1.415 2.591
As P W
1 1 2
direct
0.250 0.250 0.250 As
0.750 0.750 0.750 P
0.005 0.005 0.005 W
0.495 0.495 0.495 W
```

Summary:
Distance to the lowest polymorph of the same formula: 0.366 eV per atom
Raw total energy: -34.9 eV for the cell shown
M_tot: 0.0 μB/f.u.
Fermi-level density of states: 3.45 states/eV/f.u.